Record 1
This record from Alexandria describes a geometry-optimized Zn2ClO structure. The functional is GGA-PBE.

```
4
Lattice="-1.703 3.085 0.931 -2.593 -1.937 1.676 2.895 0.183 4.690" Properties=species:S:1:pos:R:3 pbc="T T T"
Cl 1.448 0.092 2.345
O -2.148 0.574 1.304
Zn -0.837 -0.940 1.582
Zn 1.584 1.697 4.411
```

## Properties
Magnetic moment: 0.00 μB per cell
Formation energy from raw total energies: -0.8290 eV per atom
Energy above the lowest structure with this stoichiometry: 78 kJ/mol of formula units
Fermi-level density of states: 0.8 states/eV/f.u.


Record 2
This record from Alexandria describes a geometry-optimized LiScSe structure. The functional is GGA-PBE.

```
3
Lattice="-4.892 3.774 0.992 -4.752 2.111 -3.482 3.505 -4.822 1.902" Properties=species:S:1:pos:R:3 pbc="T T T"
Se -6.551 3.998 -1.692
Sc -2.864 1.748 -0.740
Li -0.228 0.139 -0.059
```

## Properties
Magnetic moment: 0.00 μB per cell
Formation energy from raw total energies: -0.7686 eV per atom
Energy above the lowest structure with this stoichiometry: 53 kJ/mol of formula units
Fermi-level density of states: 2.8 states/eV/f.u.


Record 3
This record from Alexandria describes a geometry-optimized Ho2PaGa9 structure. The functional is GGA-PBE.

```
12
Lattice="4.272 0.000 0.000 0.000 4.272 0.000 0.000 0.000 12.804" Properties=species:S:1:pos:R:3 pbc="T T T"
Ho 0.000 0.000 4.279
Ho 0.000 0.000 8.525
Ga 0.000 2.136 10.655
Ga 0.000 2.136 6.402
Ga 2.136 0.000 2.149
Ga 2.136 2.136 0.000
Ga 2.136 0.000 6.402
Ga 2.136 2.136 8.527
Ga 2.136 0.000 10.655
Ga 2.136 2.136 4.276
Ga 0.000 2.136 2.149
Pa 0.000 0.000 0.000
```

## Properties
Magnetic moment: 0.00 μB per cell
Total energy: -51.72 eV/cell
Fermi-level density of states: 6.4 states/eV/f.u.


Record 4
This record from Alexandria describes a geometry-optimized Ba2CeNbO6 structure. The functional is GGA-PBE.

```
10
Lattice="4.319 0.000 0.000 0.000 4.319 0.000 0.000 0.000 8.739" Properties=species:S:1:pos:R:3 pbc="T T T"
Nb 2.159 2.159 4.369
O 0.000 2.159 0.000
O 2.159 0.000 0.000
O 0.000 2.159 4.369
O 2.159 2.159 6.371
O 2.159 0.000 4.369
O 2.159 2.159 2.368
Ba 0.000 0.000 2.323
Ba 0.000 0.000 6.416
Ce 2.159 2.159 0.000
```

## Properties
Magnetic moment: 0.49 μB per cell
Formation energy from raw total energies: -2.9058 eV per atom
Fermi-level density of states: 4.4 states/eV/f.u.


Record 5
This record from Alexandria describes a geometry-optimized MnCd3Sn structure. The functional is GGA-PBE.

```
5
Lattice="5.043 0.000 0.000 0.000 5.043 0.000 0.000 0.000 5.043" Properties=species:S:1:pos:R:3 pbc="T T T"
Mn 0.000 0.000 0.000
Sn 2.521 2.521 2.521
Cd 0.000 0.000 2.521
Cd 0.000 2.521 0.000
Cd 2.521 0.000 0.000
```

## Properties
Magnetic moment: 0.00 μB per cell
Energy above the lowest structure with this stoichiometry: 0 kJ/mol of formula units
Fermi-level density of states: 5.5 states/eV/f.u.


Record 6
This record from Alexandria describes a geometry-optimized KCd2Pb structure. The functional is GGA-PBE.

```
8
Lattice="-3.762 0.145 3.553 0.713 -5.942 -2.773 5.137 -1.959 5.518" Properties=species:S:1:pos:R:3 pbc="T T T"
Cd 3.957 -6.334 4.448
Cd 0.125 -2.182 3.992
Cd -1.868 -1.422 1.851
Cd 1.964 -5.574 2.307
Pb 1.303 -4.762 5.344
Pb 0.786 -2.994 0.954
K 3.665 -2.415 3.978
K -1.576 -5.340 2.321
```

## Properties
Magnetic moment: 0.00 μB per cell
Energy above the lowest structure with this stoichiometry: 0 kJ/mol of formula units
Fermi-level density of states: 1.6 states/eV/f.u.


Record 7
This record from Alexandria describes a geometry-optimized Mg8IrPt2 structure. The functional is GGA-PBE.

```
11
Lattice="-1.897 -3.524 -2.010 4.794 -3.819 2.170 -4.882 2.147 5.835" Properties=species:S:1:pos:R:3 pbc="T T T"
Pt 1.117 -2.453 3.247
Pt -3.103 -2.743 2.749
Mg -0.103 -3.351 0.983
Mg 3.459 -2.953 1.911
Mg 1.593 -5.183 2.594
Mg -0.907 -0.847 2.342
Mg -1.079 -4.349 3.654
Mg -3.578 -0.013 3.402
Mg -5.444 -2.244 4.084
Mg -1.882 -1.845 5.013
Ir -0.949 -1.762 -1.005
```

## Properties
Magnetic moment: 0.00 μB per cell
Total energy: -39.34 eV/cell
Fermi-level density of states: 3.7 states/eV/f.u.


Record 8
This record from Alexandria describes a geometry-optimized Sr3ScBe structure. The functional is GGA-PBE.

```
5
Lattice="6.322 0.000 0.000 0.000 6.322 0.000 0.000 0.000 6.322" Properties=species:S:1:pos:R:3 pbc="T T T"
Sc 0.000 0.000 0.000
Sr 0.000 0.000 3.161
Sr 3.161 0.000 0.000
Sr 0.000 3.161 0.000
Be 3.161 3.161 3.161
```

## Properties
Magnetic moment: 3.21 μB per cell
Energy above the lowest structure with this stoichiometry: 291 kJ/mol of formula units
Fermi-level density of states: 6.0 states/eV/f.u.


Record 9
This record from Alexandria describes a geometry-optimized CaRhI2O structure. The functional is GGA-PBE.

```
5
Lattice="5.696 0.000 0.000 0.000 5.696 0.000 0.000 0.000 3.865" Properties=species:S:1:pos:R:3 pbc="T T T"
I 0.000 2.848 0.000
I 2.848 0.000 0.000
O 0.000 0.000 1.932
Ca 2.848 2.848 1.932
Rh 0.000 0.000 0.000
```

## Properties
Magnetic moment: 0.24 μB per cell
Formation energy from raw total energies: -0.6884 eV per atom
Energy above the lowest structure with this stoichiometry: 0 kJ/mol of formula units
Fermi-level density of states: 3.0 states/eV/f.u.


Record 10
This record from Alexandria describes a geometry-optimized Tb2Dy2Hg7 structure. The functional is GGA-PBE.

```
11
Lattice="7.275 -1.078 0.471 -1.282 5.699 1.209 0.018 1.071 7.291" Properties=species:S:1:pos:R:3 pbc="T T T"
Hg 3.221 5.143 8.044
Hg 1.348 3.651 6.045
Hg 4.664 2.041 2.928
Hg 2.790 0.549 0.929
Hg 6.541 0.546 4.921
Hg -0.530 5.146 4.052
Hg 0.000 0.000 0.000
Dy 5.438 2.844 7.075
Dy 0.573 2.848 1.897
Tb 3.587 4.701 3.942
Tb 2.425 0.991 5.030
```

## Properties
Magnetic moment: 0.00 μB per cell
Total energy: -23.95 eV/cell
Fermi-level density of states: 6.8 states/eV/f.u.


Record 11
This record from Alexandria describes a geometry-optimized BaRe3Si structure. The functional is GGA-PBE.

```
5
Lattice="-4.203 0.142 2.751 0.072 -5.011 0.369 2.754 0.348 4.189" Properties=species:S:1:pos:R:3 pbc="T T T"
Ba 0.000 0.000 0.000
Re -2.101 0.071 1.376
Re 1.377 0.174 2.095
Re 0.036 -2.506 0.185
Si -0.688 -2.260 3.655
```

## Properties
Magnetic moment: 3.74 μB per cell
Formation energy from raw total energies: 4.0940 eV per atom
Energy above the lowest structure with this stoichiometry: 1328 kJ/mol of formula units
Fermi-level density of states: 8.1 states/eV/f.u.


Record 12
This record from Alexandria describes a geometry-optimized NdCdIn structure. The functional is GGA-PBE.

```
6
Lattice="-2.047 -4.490 -0.653 2.243 -4.343 3.860 -4.608 -1.240 4.003" Properties=species:S:1:pos:R:3 pbc="T T T"
Nd -3.929 -4.236 3.500
Nd -0.484 -5.837 3.709
In -0.974 -2.680 2.509
In -3.439 -7.393 4.701
Cd -1.875 -4.771 0.744
Cd -2.537 -5.302 6.466
```

## Properties
Magnetic moment: 0.00 μB per cell
Total energy: -19.45 eV/cell
Fermi-level density of states: 2.4 states/eV/f.u.